# 1
Density functional theory data (PBE) for a relaxed K2BaBS crystal.

Calculated values
total DFT energy (no corrections): -2.007 eV/atom
density of states at the Fermi level: 0.9923 states/eV per atom
ΔE_f (raw): 0.9773 eV per atom

Cell lengths 6.6451, 4.6580, 6.6451 Å; angles 90.00, 90.00, 90.00 degrees
Closest atoms and distances in Å follow each position.
Positions (direct):
B (0.0000, 0.5000, 0.0000)  2 Ba 2.33
K (0.5000, 0.0000, 0.0000)  2 Ba 3.32
K (0.0000, 0.0000, 0.5000)  2 Ba 3.32
Ba (0.0000, 0.0000, 0.0000)  2 B 2.33
S (0.5000, 0.5000, 0.5000)  8 K 4.06

# 2
Density functional theory data (PBE) for a relaxed KBa3B2S6 crystal.

Calculated values
total DFT energy (no corrections): -4.954 eV/atom
density of states at the Fermi level: 0.2554 states/eV per atom
ΔE_f (raw): -1.2048 eV per atom

Cell lengths 7.0791, 7.0791, 8.1972 Å; angles 90.00, 90.00, 120.00 degrees
Closest atoms and distances in Å follow each position.
Positions (direct):
S (0.6290, 0.8145, 0.2727)  1 B 1.82
S (0.8145, 0.6290, 0.7273)  1 B 1.82
S (0.8145, 0.1855, 0.7273)  1 B 1.82
S (0.3710, 0.1855, 0.7273)  1 B 1.82
S (0.1855, 0.8145, 0.2727)  1 B 1.82
S (0.1855, 0.3710, 0.2727)  1 B 1.82
Ba (0.6667, 0.3333, 0.3787)  1 B 3.04, 3 S 3.38
Ba (0.3333, 0.6667, 0.6213)  1 B 3.04, 3 S 3.38
Ba (0.0000, 0.0000, 0.0000)  6 S 3.19
B (0.6667, 0.3333, 0.7497)  3 S 1.82
B (0.3333, 0.6667, 0.2503)  3 S 1.82
K (0.0000, 0.0000, 0.5000)  6 S 2.94

# 3
Density functional theory data (PBE) for a relaxed KBa2B2S6 crystal.

Calculated values
total DFT energy (no corrections): -5.054 eV/atom
density of states at the Fermi level: 0.3461 states/eV per atom
ΔE_f (raw): -1.1395 eV per atom

Cell lengths 6.1965, 6.7015, 8.8319 Å; angles 113.39, 90.00, 117.54 degrees
Closest atoms and distances in Å follow each position.
Positions (direct):
S (0.1980, 0.3961, 0.3520)  1 B 1.80
S (0.3105, 0.1354, 0.8341)  1 B 1.83
S (0.6895, 0.8646, 0.1659)  1 B 1.83
S (0.8020, 0.6039, 0.6480)  1 B 1.80
S (0.1751, 0.8646, 0.1659)  1 B 1.83
S (0.8249, 0.1354, 0.8341)  1 B 1.83
Ba (0.6984, 0.3967, 0.2079)  9 S 3.32-3.51
Ba (0.3016, 0.6033, 0.7921)  9 S 3.32-3.51
B (0.9706, 0.9413, 0.7683)  3 S 1.80-1.83
B (0.0294, 0.0587, 0.2317)  3 S 1.80-1.83
K (0.5000, 0.0000, 0.5000)  6 S 3.13-3.22

# 4
Density functional theory data (PBE) for a relaxed KBaBSb2 crystal.

Calculated values
total DFT energy (no corrections): -2.110 eV/atom
density of states at the Fermi level: 0.9684 states/eV per atom
ΔE_f (raw): 1.4786 eV per atom

Cell lengths 5.9208, 5.9208, 6.0194 Å; angles 90.00, 90.00, 90.00 degrees
Closest atoms and distances in Å follow each position.
Positions (direct):
B (0.5000, 0.5000, 0.5000)  4 Ba 4.19, 8 Sb 4.22
Sb (0.0000, 0.5000, 0.0000)  2 K 2.96
Sb (0.5000, 0.0000, 0.0000)  2 K 2.96
K (0.0000, 0.0000, 0.0000)  4 Sb 2.96, 2 Ba 3.01
Ba (0.0000, 0.0000, 0.5000)  2 K 3.01

# 5
Density functional theory data (PBE) for a relaxed KBa2B2Se6 crystal.

Calculated values
total DFT energy (no corrections): -4.502 eV/atom
density of states at the Fermi level: 0.3809 states/eV per atom
ΔE_f (raw): -0.9383 eV per atom

Cell lengths 6.8902, 6.8902, 9.8823 Å; angles 69.60, 69.60, 60.00 degrees
Closest atoms and distances in Å follow each position.
Positions (direct):
Se (0.2690, 0.2690, 0.7022)  1 B 1.95
Se (0.7310, 0.2403, 0.2978)  1 B 1.95
Se (0.2690, 0.7597, 0.7022)  1 B 1.95
Se (0.7597, 0.2690, 0.7022)  1 B 1.95
Se (0.2403, 0.7310, 0.2978)  1 B 1.95
Se (0.7310, 0.7310, 0.2978)  1 B 1.95
Ba (0.2034, 0.2034, 0.3898)  9 Se 3.48-3.54
Ba (0.7966, 0.7966, 0.6102)  9 Se 3.48-3.54
B (0.4345, 0.4345, 0.6966)  3 Se 1.95
B (0.5655, 0.5655, 0.3034)  3 Se 1.95
K (0.0000, 0.0000, 0.0000)  6 Se 3.37

# 6
Density functional theory data (PBE) for a relaxed KBaZrB2 crystal.

Calculated values
ΔE_f: 2312 meV/atom
total DFT energy (no corrections): -2.673 eV/atom
density of states at the Fermi level: 0.9796 states/eV per atom

Cell lengths 5.3408, 5.5359, 5.3408 Å; angles 90.00, 90.00, 90.00 degrees
Closest atoms and distances in Å follow each position.
Positions (direct):
Ba (0.0000, 0.0000, 0.0000)  4 B 2.67, 2 Zr 2.77
B (0.0000, 0.0000, 0.5000)  2 Ba 2.67
B (0.5000, 0.0000, 0.0000)  2 Ba 2.67
Zr (0.0000, 0.5000, 0.0000)  2 Ba 2.77
K (0.5000, 0.5000, 0.5000)  4 Zr 3.78, 8 B 3.85

# 7
Density functional theory data (PBE) for a relaxed BaLaB crystal.

Calculated values
ΔE_f: -40 meV/atom
total DFT energy (no corrections): -4.549 eV/atom
density of states at the Fermi level: 0.9995 states/eV per atom

Cell lengths 15.1051, 3.3583, 3.8337 Å; angles 90.01, 75.69, 83.91 degrees
Closest atoms and distances in Å follow each position.
Positions (direct):
La (0.9560, 0.8261, 0.5671)  6 B 2.76-2.95
La (0.1948, 0.2120, 0.3341)  6 B 2.76-2.95
B (0.0585, 0.2773, 0.9671)  2 B 1.75
B (0.0923, 0.7611, 0.9342)  2 B 1.75
Ba (0.7041, 0.4483, 0.3159)  3 Ba 3.36-3.75
Ba (0.4467, 0.5836, 0.5836)  3 Ba 3.36-3.75

# 8
Density functional theory data (PBE) for a relaxed BaLaB crystal.

Calculated values
ΔE_f: 62 meV/atom
total DFT energy (no corrections): -4.448 eV/atom
density of states at the Fermi level: 0.4250 states/eV per atom

Cell lengths 4.1181, 4.8809, 10.7048 Å; angles 90.73, 105.66, 76.56 degrees
Closest atoms and distances in Å follow each position.
Positions (direct):
B (0.7134, 0.2012, 0.2875)  1 B 1.62
B (0.9041, 0.9242, 0.3841)  1 B 1.62
Ba (0.7043, 0.2935, 0.9938)  1 B 3.17
Ba (0.9130, 0.8320, 0.6778)  1 B 3.17
La (0.3481, 0.7674, 0.2266)  4 B 2.71-2.84
La (0.2693, 0.3580, 0.4450)  4 B 2.71-2.84

# 9
Density functional theory data (PBE) for a relaxed BaLaB crystal.

Calculated values
ΔE_f: 152 meV/atom
total DFT energy (no corrections): -4.357 eV/atom
density of states at the Fermi level: 0.4133 states/eV per atom

Cell lengths 8.2110, 3.8160, 7.9960 Å; angles 76.12, 120.03, 90.05 degrees
Closest atoms and distances in Å follow each position.
Positions (direct):
La (0.0200, 0.1636, 0.8272)  2 B 2.73
La (0.0197, 0.9394, 0.2736)  4 B 2.64-2.77
B (0.2740, 0.3941, 0.3651)  1 B 1.63
B (0.1560, 0.5162, 0.1209)  1 B 1.63
Ba (0.4735, 0.7056, 0.7400)  2 B 3.14
Ba (0.5092, 0.9371, 0.2801)  4 B 3.02-3.14

# 10
Density functional theory data (PBE) for a relaxed BaLaB crystal.

Calculated values
ΔE_f: 385 meV/atom
total DFT energy (no corrections): -4.124 eV/atom
density of states at the Fermi level: 1.1956 states/eV per atom

Cell lengths 15.1136, 7.0945, 3.6341 Å; angles 90.00, 90.00, 90.00 degrees
Closest atoms and distances in Å follow each position.
Positions (direct):
B (0.5000, 0.5000, 0.5000)  4 La 2.78
B (0.0000, 0.5000, 0.0000)  4 La 2.78
B (0.0000, 0.0000, 0.0000)  4 La 2.78
B (0.5000, 0.0000, 0.5000)  4 La 2.78
La (0.0745, 0.7500, 0.4997)  4 B 2.78
La (0.5745, 0.7500, 0.0003)  4 B 2.78
La (0.4255, 0.2500, 0.9997)  4 B 2.78
La (0.9255, 0.2500, 0.5003)  4 B 2.78
Ba (0.3588, 0.7500, 0.0032)  1 La 3.26, 4 B 3.31-3.32, 2 Ba 3.63
Ba (0.1412, 0.2500, 0.5032)  1 La 3.26, 4 B 3.31-3.32, 2 Ba 3.63
Ba (0.6412, 0.2500, 0.9968)  1 La 3.26, 4 B 3.31-3.32, 2 Ba 3.63
Ba (0.8588, 0.7500, 0.4968)  1 La 3.26, 4 B 3.31-3.32, 2 Ba 3.63